Material: KLiVF6
Method: DFT, PBE with a Hubbard U
State: optimized geometry

Structure (CIF):
```
data_KLiVF6
_cell_length_a 5.3035
_cell_length_b 5.3035
_cell_length_c 5.6836
_cell_angle_alpha 90.04
_cell_angle_beta 90.04
_cell_angle_gamma 119.91
_symmetry_space_group_name_H-M 'P 1'
_symmetry_Int_Tables_number 1
loop_
_symmetry_equiv_pos_as_xyz
'x,y,z'
loop_
_atom_site_label
_atom_site_type_symbol
_atom_site_fract_x
_atom_site_fract_y
_atom_site_fract_z
K1 K 0.0000 0.0000 0.0000
Li1 Li 0.3287 0.6713 0.5000
V1 V 0.6648 0.3352 0.5000
F1 F 0.3880 0.3672 0.3151
F2 F 0.3891 0.0240 0.6886
F3 F 0.6328 0.6120 0.6849
F4 F 0.6367 0.0296 0.3133
F5 F 0.9704 0.3633 0.6867
F6 F 0.9760 0.6109 0.3114
```

Summary:
crystal system: monoclinic
E: -0.194 Ha/atom
total magnetic moment: 1.00 μB per cell